Entry 1:
The following is a PBE calculation of a relaxed Sc5TcRu6 crystal, from Alexandria.

Computed properties:
Density (g cm⁻³): 7.97
Formation energy from the elements (meV/atom): -470
Space group: Immm, No. 71
Calculated volume (Å³ per cell): 194

abc: 4.498 6.377 7.793
angles: 114.15 106.77 90.00
Atoms (fractional coordinates):
Tc 0.000 0.000 0.000
Ru 0.840 0.597 0.680
Sc 0.000 0.500 0.000
Sc 0.334 0.334 0.667
Sc 0.666 0.666 0.333
Ru 0.160 0.917 0.320
Ru 0.500 0.237 0.000
Ru 0.500 0.763 0.000
Ru 0.840 0.083 0.680
Sc 0.332 0.832 0.664
Sc 0.668 0.168 0.336
Ru 0.160 0.403 0.320


Entry 2:
The following is a PBE calculation of a relaxed ScTcRu2 crystal, from Alexandria.

Computed properties:
Density (g cm⁻³): 9.36
Formation energy from the elements (meV/atom): 8
Space group: P2/m, No. 10
Calculated volume (Å³ per cell): 61
E above lowest polymorph (eV per atom): 0.120

abc: 4.132 2.769 5.534
angles: 75.16 90.00 90.00
Atoms (fractional coordinates):
Sc 0.500 0.250 0.250
Ru 0.000 0.081 0.991
Tc 0.500 0.750 0.750
Ru 0.000 0.419 0.509


Entry 3:
The following is a PBE calculation of a relaxed ScTcRu2 crystal, from Alexandria.

Computed properties:
Density (g cm⁻³): 9.29
Formation energy from the elements (meV/atom): 31
Space group: F-43m, No. 216
Calculated volume (Å³ per cell): 62
E above lowest polymorph (eV per atom): 0.143

abc: 4.434 4.434 4.434
angles: 60.00 60.00 60.00
Last column: magnetic moment on the atom in μB.
Atoms (fractional coordinates):
Sc 0.500 0.500 0.500  -0.03
Ru 0.000 0.000 0.000  0.88
Ru 0.250 0.250 0.250  0.68
Tc 0.750 0.750 0.750  0.05


Entry 4:
The following is a PBE calculation of a relaxed Sc2TcRu crystal, from Alexandria.

Computed properties:
Density (g cm⁻³): 7.00
Formation energy from the elements (meV/atom): -133
Space group: Pm, No. 6
Calculated volume (Å³ per cell): 69

abc: 4.507 2.968 5.300
angles: 75.31 90.00 90.00
Atoms (fractional coordinates):
Sc 0.500 0.257 0.269
Tc 0.000 0.520 0.508
Sc 0.000 0.991 0.981
Ru 0.500 0.733 0.742


Entry 5:
The following is a PBE calculation of a relaxed Sc2TcRu crystal, from Alexandria.

Computed properties:
Density (g cm⁻³): 6.45
Formation energy from the elements (meV/atom): -138
Space group: P4mm, No. 99
Calculated volume (Å³ per cell): 74

abc: 2.965 2.965 8.460
angles: 90.00 90.00 90.00
Atoms (fractional coordinates):
Ru 0.500 0.500 0.721
Sc 0.000 0.000 0.947
Sc 0.500 0.500 0.299
Tc 0.000 0.000 0.534


Entry 6:
The following is a PBE calculation of a relaxed Sc2TcRu crystal, from Alexandria.

Computed properties:
Density (g cm⁻³): 7.10
Formation energy from the elements (meV/atom): -171
Space group: P2/m, No. 10
Calculated volume (Å³ per cell): 68

abc: 4.227 2.947 5.463
angles: 83.39 90.00 90.00
Atoms (fractional coordinates):
Ru 0.500 0.750 0.750
Tc 0.500 0.250 0.250
Sc 0.000 0.501 0.501
Sc 0.000 0.999 0.999


Entry 7:
The following is a PBE calculation of a relaxed Sc2TcRu crystal, from Alexandria.

Computed properties:
Density (g cm⁻³): 6.58
Formation energy from the elements (meV/atom): 151
Space group: R3m, No. 160
Calculated volume (Å³ per cell): 73

abc: 9.431 9.431 9.431
angles: 18.40 18.40 18.40
Atoms (fractional coordinates):
Ru 0.755 0.755 0.755
Tc 0.494 0.494 0.494
Sc 0.239 0.239 0.239
Sc 0.012 0.012 0.012


Entry 8:
The following is a PBE calculation of a relaxed ScTcRu2 crystal, from Alexandria.

Computed properties:
Density (g cm⁻³): 9.34
Formation energy from the elements (meV/atom): -112
Space group: P4mm, No. 99
Calculated volume (Å³ per cell): 61
E above lowest polymorph (eV per atom): 0.000

abc: 4.502 3.027 4.503
angles: 89.99 90.00 90.00
Atoms (fractional coordinates):
Ru 0.000 0.115 0.875
Tc 0.500 0.652 0.875
Sc 0.000 0.619 0.375
Ru 0.500 0.115 0.375


Entry 9:
The following is a PBE calculation of a relaxed Sc2TcRu crystal, from Alexandria.

Computed properties:
Density (g cm⁻³): 7.12
Formation energy from the elements (meV/atom): -281
Space group: P4/mmm, No. 123
Calculated volume (Å³ per cell): 67

abc: 4.556 4.556 3.245
angles: 90.00 90.00 90.00
Atoms (fractional coordinates):
Tc 0.500 0.000 0.500
Sc 0.500 0.500 0.000
Sc 0.000 0.000 0.000
Ru 0.000 0.500 0.500


Entry 10:
The following is a PBE calculation of a relaxed Sc2TcRu crystal, from Alexandria.

Computed properties:
Density (g cm⁻³): 6.96
Formation energy from the elements (meV/atom): -74
Space group: C2/m, No. 12
Calculated volume (Å³ per cell): 69

abc: 4.416 4.416 5.511
angles: 80.78 80.78 40.66
Atoms (fractional coordinates):
Ru 0.250 0.250 0.250
Tc 0.750 0.750 0.750
Sc 0.998 0.998 0.001
Sc 0.502 0.502 0.499


Entry 11:
The following is a PBE calculation of a relaxed Sc2TcRu crystal, from Alexandria.

Computed properties:
Density (g cm⁻³): 6.94
Formation energy from the elements (meV/atom): -66
Space group: R-3m, No. 166
Calculated volume (Å³ per cell): 69

abc: 8.297 8.297 8.297
angles: 21.81 21.81 21.81
Last column: magnetic moment on the atom in μB.
Atoms (fractional coordinates):
Tc 0.250 0.250 0.250  0.02
Ru 0.750 0.750 0.750  0.15
Sc 0.000 0.000 0.000  -0.01
Sc 0.500 0.500 0.500  -0.01


Entry 12:
The following is a PBE calculation of a relaxed ScTcRu2 crystal, from Alexandria.

Computed properties:
Density (g cm⁻³): 9.31
Formation energy from the elements (meV/atom): -66
Space group: Fm-3m, No. 225
Calculated volume (Å³ per cell): 62
E above lowest polymorph (eV per atom): 0.047

abc: 4.432 4.432 4.432
angles: 60.00 60.00 60.00
Last column: magnetic moment on the atom in μB.
Atoms (fractional coordinates):
Sc 0.000 0.000 0.000  0.00
Ru 0.250 0.250 0.250  0.12
Ru 0.750 0.750 0.750  0.12
Tc 0.500 0.500 0.500  0.42


Entry 13:
The following is a PBE calculation of a relaxed Sc2TcRu crystal, from Alexandria.

Computed properties:
Density (g cm⁻³): 7.09
Formation energy from the elements (meV/atom): -162
Space group: Immm, No. 71
Calculated volume (Å³ per cell): 68

abc: 5.154 5.154 5.154
angles: 143.33 122.72 69.96
Atoms (fractional coordinates):
Ru 0.250 0.750 0.500
Sc 0.498 0.498 0.000
Sc 0.002 0.002 0.000
Tc 0.750 0.250 0.500


Entry 14:
The following is a PBE calculation of a relaxed ScTcRu2 crystal, from Alexandria.

Computed properties:
Density (g cm⁻³): 9.28
Formation energy from the elements (meV/atom): 8
Space group: I-4m2, No. 119
Calculated volume (Å³ per cell): 62
E above lowest polymorph (eV per atom): 0.120

abc: 5.023 5.023 5.023
angles: 135.33 135.33 65.02
Atoms (fractional coordinates):
Sc 0.500 0.500 0.000
Ru 0.000 0.000 0.000
Tc 0.750 0.250 0.500
Ru 0.250 0.750 0.500


Entry 15:
The following is a PBE calculation of a relaxed Sc2TcRu crystal, from Alexandria.

Computed properties:
Density (g cm⁻³): 7.10
Formation energy from the elements (meV/atom): -167
Space group: Pmmm, No. 47
Calculated volume (Å³ per cell): 68

abc: 3.223 4.945 4.239
angles: 90.00 90.00 90.00
Atoms (fractional coordinates):
Sc 0.500 0.500 0.000
Sc 0.000 0.000 0.000
Ru 0.000 0.500 0.500
Tc 0.500 0.000 0.500


Entry 16:
The following is a PBE calculation of a relaxed ScTcRu2 crystal, from Alexandria.

Computed properties:
Density (g cm⁻³): 9.32
Formation energy from the elements (meV/atom): -19
Space group: Immm, No. 71
Calculated volume (Å³ per cell): 61
E above lowest polymorph (eV per atom): 0.094

abc: 5.185 5.185 5.185
angles: 145.59 127.89 63.95
Atoms (fractional coordinates):
Tc 0.250 0.750 0.500
Ru 0.494 0.494 0.000
Sc 0.750 0.250 0.500
Ru 0.006 0.006 0.000


Entry 17:
The following is a PBE calculation of a relaxed Sc2TcRu crystal, from Alexandria.

Computed properties:
Density (g cm⁻³): 7.10
Formation energy from the elements (meV/atom): -171
Space group: C2/m, No. 12
Calculated volume (Å³ per cell): 68

abc: 5.468 5.147 2.953
angles: 76.99 83.32 119.85
Atoms (fractional coordinates):
Sc 0.000 0.000 0.000
Sc 0.500 0.000 0.500
Ru 0.500 0.500 0.000
Tc 0.000 0.500 0.500


Entry 18:
The following is a PBE calculation of a relaxed ScTcRu2 crystal, from Alexandria.

Computed properties:
Density (g cm⁻³): 9.14
Formation energy from the elements (meV/atom): 41
Space group: Pmm2, No. 25
Calculated volume (Å³ per cell): 63
E above lowest polymorph (eV per atom): 0.153

abc: 2.841 3.802 5.804
angles: 90.00 90.00 90.00
Atoms (fractional coordinates):
Tc 0.500 0.500 0.784
Sc 0.000 0.000 0.489
Ru 0.500 0.500 0.234
Ru 0.000 0.000 0.993


Entry 19:
The following is a PBE calculation of a relaxed ScTcRu2 crystal, from Alexandria.

Computed properties:
Density (g cm⁻³): 9.30
Formation energy from the elements (meV/atom): -111
Space group: Cm, No. 8
Calculated volume (Å³ per cell): 62
E above lowest polymorph (eV per atom): 0.002

abc: 5.317 5.317 4.696
angles: 64.90 64.90 31.12
Atoms (fractional coordinates):
Sc 0.503 0.503 0.440
Ru 0.998 0.998 0.915
Tc 0.730 0.730 0.837
Ru 0.269 0.269 0.307


Entry 20:
The following is a PBE calculation of a relaxed ScVTcRu crystal, from Alexandria.

Computed properties:
Density (g cm⁻³): 8.15
Formation energy from the elements (meV/atom): -328
Space group: F-43m, No. 216
Calculated volume (Å³ per cell): 60

abc: 4.397 4.397 4.397
angles: 60.00 60.00 60.00
Atoms (fractional coordinates):
Ru 0.750 0.750 0.750
Sc 0.000 0.000 0.000
Tc 0.250 0.250 0.250
V 0.500 0.500 0.500